Entry 1:
Sm4Bi3As: relaxed, GGA-PBE.

The structure belongs to space group Cmmm (No. 65); the cell edges are 8.9801, 12.6560 and 4.4588 Å and the angles 90.00°, 90.00° and 90.00°. Symmetry generates all atoms from Sm at (0.0000, 0.2418, 0.0000), Sm at (0.2348, 0.0000, 0.5000), Bi at (0.0000, 0.5000, 0.0000), Bi at (0.2500, 0.2500, 0.5000) and As at (0.0000, 0.0000, 0.0000).

The formation energy comes out at -1.05 eV/atom. Its density of states at the Fermi level is 2.472 states/eV/cell. The calculation puts the total moment at 0.00 μB per formula unit. The value obtained for the final energy is -5.442 eV per atom.


Entry 2:
Cs3Zn2F8: relaxed, GGA-PBE.

The structure belongs to space group R-3m (No. 166, hexagonal axes); the cell edges are 6.4708, 6.4708 and 23.6219 Å and the angles 90.00°, 90.00° and 120.00°. Symmetry generates all atoms from Cs at (0.0000, 0.0000, 0.0000), Cs at (0.0000, 0.0000, 0.2047), Zn at (0.0000, 0.0000, 0.4087), F at (0.0000, 0.0000, 0.3285) and F at (0.0128, 0.5064, 0.2314).

Its density of states at the Fermi level is 58.849 states/eV/cell. The uncorrected formation energy is -2.36 eV/atom. The calculation puts the total moment at 1.28 μB per formula unit. The value obtained for the final energy is -3.908 eV per atom.


Entry 3:
NaSmAgBr5: relaxed, GGA-PBE.

The structure belongs to space group C2/c (No. 15); the cell edges are 8.3346, 13.7116 and 10.5779 Å and the angles 90.00°, 110.57° and 90.00°. Symmetry generates all atoms from Na at (0.0000, 0.0669, 0.2500), Sm at (0.0000, 0.5000, 0.0000), Ag at (0.0000, 0.2173, 0.7500), Br at (0.0000, 0.4153, 0.2500), Br at (0.1679, 0.0855, 0.9520) and Br at (0.1776, 0.3294, 0.6348).

Its density of states at the Fermi level is 0.000 states/eV/cell. The uncorrected formation energy is -1.38 eV/atom. The calculation puts the total moment at 0.00 μB per formula unit. The value obtained for the final energy is -3.541 eV per atom.


Entry 4:
Ba3Re: relaxed, GGA-PBE.

The structure belongs to space group Pmm2 (No. 25); the cell edges are 4.9846, 5.0999 and 6.6176 Å and the angles 90.00°, 90.00° and 90.00°. Symmetry generates all atoms from Ba at (0.0000, 0.0000, 0.0000), Ba at (0.0000, 0.5000, 0.4859), Ba at (0.5000, 0.0000, 0.5850) and Re at (0.5000, 0.5000, 0.8410).

The formation energy comes out at 1.07 eV/atom. Its density of states at the Fermi level is 4.832 states/eV/cell. The calculation puts the total moment at 0.83 μB per formula unit. The value obtained for the final energy is -3.485 eV per atom.


Entry 5:
YSc2Cr: relaxed, GGA-PBE.

The structure belongs to space group Imm2 (No. 44); the cell edges are 3.5788, 5.0755 and 10.3504 Å and the angles 90.00°, 90.00° and 90.00°. Symmetry generates all atoms from Y at (0.0000, 0.0000, 0.0000), Sc at (0.0000, 0.0000, 0.5700), Sc at (0.0000, 0.5000, 0.7858) and Cr at (0.0000, 0.5000, 0.2744).

The formation energy comes out at 0.22 eV/atom. Its density of states at the Fermi level is 11.048 states/eV/cell. The calculation puts the total moment at 3.15 μB per formula unit. The value obtained for the final energy is -6.965 eV per atom.


Entry 6:
NbTlClO3: relaxed, GGA-PBE.

The structure belongs to space group C2/c (No. 15); the cell edges are 4.6396, 19.6051 and 5.5525 Å and the angles 90.00°, 95.14° and 90.00°. Symmetry generates all atoms from Nb at (0.0000, 0.0284, 0.2500), Tl at (0.0000, 0.3212, 0.7500), Cl at (0.0000, 0.3018, 0.2500), O at (0.0000, 0.1264, 0.2500) and O at (0.2458, 0.0262, 0.9660).

Its density of states at the Fermi level is 6.955 states/eV/cell. The uncorrected formation energy is -1.59 eV/atom. The calculation puts the total moment at 0.00 μB per formula unit. The value obtained for the final energy is -6.448 eV per atom.


Entry 7:
Sr3Tl9Pd2: relaxed, GGA-PBE.

The structure belongs to space group Immm (No. 71); the cell edges are 4.8597, 11.8440 and 14.1102 Å and the angles 90.00°, 90.00° and 90.00°. Symmetry generates all atoms from Sr at (0.0000, 0.0000, 0.0000), Sr at (0.0000, 0.0000, 0.3239), Tl at (0.0000, 0.2817, 0.1215), Tl at (0.0000, 0.3693, 0.3354), Tl at (0.0000, 0.5000, 0.0000) and Pd at (0.0000, 0.2252, 0.5000).

The formation energy comes out at -0.25 eV/atom. Its density of states at the Fermi level is 14.719 states/eV/cell. The calculation puts the total moment at 0.00 μB per formula unit. The value obtained for the final energy is -2.873 eV per atom.


Entry 8:
NdSm6Dy2Y: relaxed, GGA-PBE.

The structure belongs to space group C2/c (No. 15); the cell edges are 9.1753, 15.2969 and 9.7232 Å and the angles 90.00°, 97.94° and 90.00°. Symmetry generates all atoms from Nd at (0.0000, 0.0931, 0.2500), Sm at (0.0631, 0.3184, 0.4453), Sm at (0.1025, 0.1058, 0.6209), Sm at (0.2046, 0.2740, 0.8161), Dy at (0.2459, 0.4486, 0.0440) and Y at (0.0000, 0.4745, 0.7500).

The formation energy comes out at 0.12 eV/atom. Its density of states at the Fermi level is 59.429 states/eV/cell. The calculation puts the total moment at 0.00 μB per formula unit. The value obtained for the final energy is -4.758 eV per atom.